A geometry-optimized Tl2Bi2Sb structure, computed with PBE.

* ΔE to the lowest computed polymorph: 0.0 meV/atom
* E: -0.1191 hartree per atom
* DOS at the Fermi energy: 0.468 states/eV/atom
* crystal system: tetragonal
* volume: 34.728 Å³ per atom
* raw formation energy: 0.41 eV per formula unit

```
data_Tl2Bi2Sb
_chemical_formula_sum 'Tl4 Bi4 Sb2'
_cell_length_a 8.1867
_cell_length_b 8.1867
_cell_length_c 5.1814
_cell_angle_alpha 90.00
_cell_angle_beta 90.00
_cell_angle_gamma 90.00
_space_group_name_H-M_alt 'P 4/m b m'
_space_group_IT_number 127
_space_group_name_Hall '-P 4 2ab'
loop_
_atom_site_label
_atom_site_type_symbol
_atom_site_fract_x
_atom_site_fract_y
_atom_site_fract_z
Tl1 Tl 0.1770 0.3230 0.0000
Bi1 Bi 0.1348 0.6348 0.5000
Sb1 Sb 0.0000 0.0000 0.5000
```